## w
# SiGeP2 (PBE-GGA, optimized geometry)
data_SiGeP2
_space_group_name_H-M_alt 'P 1'
_space_group_IT_number 1
_cell_length_a 4.454
_cell_length_b 4.454
_cell_length_c 4.454
_cell_angle_alpha 60.00
_cell_angle_beta 60.00
_cell_angle_gamma 60.00
loop_
_space_group_symop_operation_xyz
'x,y,z'
loop_
_atom_site_label
_atom_site_type_symbol
_atom_site_fract_x
_atom_site_fract_y
_atom_site_fract_z
Si1 Si 0.000 0.000 0.000
Ge1 Ge 0.500 0.500 0.500
P1 P 0.250 0.250 0.250
P2 P 0.750 0.750 0.750
# SG ... Fm-3m, No. 225

---

## x
# SiGeP2 (PBE-GGA, optimized geometry)
data_SiGeP2
_space_group_name_H-M_alt 'P 1'
_space_group_IT_number 1
_cell_length_a 7.220
_cell_length_b 7.220
_cell_length_c 7.220
_cell_angle_alpha 30.39
_cell_angle_beta 30.39
_cell_angle_gamma 30.39
loop_
_space_group_symop_operation_xyz
'x,y,z'
loop_
_atom_site_label
_atom_site_type_symbol
_atom_site_fract_x
_atom_site_fract_y
_atom_site_fract_z
Si1 Si 0.000 0.000 0.000
Ge1 Ge 0.500 0.500 0.500
P1 P 0.103 0.103 0.103
P2 P 0.897 0.897 0.897
# SG ... R-3m, No. 166

---

Q: Which of them is the least stable? A: w.

---

## w
# LaCuOs2 (PBE-GGA, optimized geometry)
data_LaCuOs2
_space_group_name_H-M_alt 'P 1'
_space_group_IT_number 1
_cell_length_a 5.090
_cell_length_b 5.090
_cell_length_c 3.081
_cell_angle_alpha 90.00
_cell_angle_beta 90.00
_cell_angle_gamma 115.87
loop_
_space_group_symop_operation_xyz
'x,y,z'
loop_
_atom_site_label
_atom_site_type_symbol
_atom_site_fract_x
_atom_site_fract_y
_atom_site_fract_z
La1 La 0.000 0.000 0.000
Cu1 Cu 0.500 0.500 0.000
Os1 Os 0.000 0.500 0.500
Os2 Os 0.500 0.000 0.500
# SG ... Cmmm, No. 65

---

## x
# LaCuOs2 (PBE-GGA, optimized geometry)
data_LaCuOs2
_space_group_name_H-M_alt 'P 1'
_space_group_IT_number 1
_cell_length_a 5.244
_cell_length_b 5.244
_cell_length_c 5.244
_cell_angle_alpha 134.78
_cell_angle_beta 134.78
_cell_angle_gamma 65.88
loop_
_space_group_symop_operation_xyz
'x,y,z'
loop_
_atom_site_label
_atom_site_type_symbol
_atom_site_fract_x
_atom_site_fract_y
_atom_site_fract_z
La1 La 0.000 0.000 0.000
Cu1 Cu 0.500 0.500 0.000
Os1 Os 0.250 0.750 0.500
Os2 Os 0.750 0.250 0.500
# SG ... I4/mmm, No. 139

---

Q: Which of them is the least stable? A: w.

---

## w
# Sc2TeSe (PBE-GGA, optimized geometry)
data_Sc2TeSe
_space_group_name_H-M_alt 'P 1'
_space_group_IT_number 1
_cell_length_a 7.030
_cell_length_b 7.030
_cell_length_c 7.030
_cell_angle_alpha 33.04
_cell_angle_beta 33.04
_cell_angle_gamma 33.04
loop_
_space_group_symop_operation_xyz
'x,y,z'
loop_
_atom_site_label
_atom_site_type_symbol
_atom_site_fract_x
_atom_site_fract_y
_atom_site_fract_z
Sc1 Sc 0.237 0.237 0.237
Sc2 Sc 0.763 0.763 0.763
Te1 Te 0.000 0.000 0.000
Se1 Se 0.500 0.500 0.500
# SG ... R-3m, No. 166

---

## x
# Sc2TeSe (PBE-GGA, optimized geometry)
data_Sc2TeSe
_space_group_name_H-M_alt 'P 1'
_space_group_IT_number 1
_cell_length_a 4.696
_cell_length_b 5.616
_cell_length_c 5.616
_cell_angle_alpha 38.28
_cell_angle_beta 90.00
_cell_angle_gamma 90.00
loop_
_space_group_symop_operation_xyz
'x,y,z'
loop_
_atom_site_label
_atom_site_type_symbol
_atom_site_fract_x
_atom_site_fract_y
_atom_site_fract_z
Sc1 Sc 0.000 0.000 0.000
Sc2 Sc 0.500 0.202 0.202
Te1 Te 0.000 0.724 0.724
Se1 Se 0.500 0.479 0.479
# SG ... Amm2, No. 38

---

Q: Which of them is the least stable? A: x.

---

## w
# BeReRh (PBE-GGA, optimized geometry)
data_BeReRh
_space_group_name_H-M_alt 'P 1'
_space_group_IT_number 1
_cell_length_a 5.704
_cell_length_b 4.771
_cell_length_c 4.475
_cell_angle_alpha 76.10
_cell_angle_beta 54.29
_cell_angle_gamma 49.61
loop_
_space_group_symop_operation_xyz
'x,y,z'
loop_
_atom_site_label
_atom_site_type_symbol
_atom_site_fract_x
_atom_site_fract_y
_atom_site_fract_z
Be1 Be 0.250 0.250 0.250
Be2 Be 0.750 0.750 0.750
Re1 Re 0.165 0.835 0.165
Re2 Re 0.835 0.165 0.835
Rh1 Rh 0.346 0.346 0.654
Rh2 Rh 0.654 0.654 0.346
# SG ... Fmmm, No. 69

---

## x
# BeReRh (PBE-GGA, optimized geometry)
data_BeReRh
_space_group_name_H-M_alt 'P 1'
_space_group_IT_number 1
_cell_length_a 2.766
_cell_length_b 4.014
_cell_length_c 6.814
_cell_angle_alpha 90.00
_cell_angle_beta 90.00
_cell_angle_gamma 90.00
loop_
_space_group_symop_operation_xyz
'x,y,z'
loop_
_atom_site_label
_atom_site_type_symbol
_atom_site_fract_x
_atom_site_fract_y
_atom_site_fract_z
Be1 Be 0.000 0.000 0.000
Be2 Be 0.000 0.500 0.197
Re1 Re 0.000 0.500 0.542
Re2 Re 0.500 0.000 0.684
Rh1 Rh 0.500 0.000 0.289
Rh2 Rh 0.500 0.500 0.932
# SG ... Pmm2, No. 25

---

Q: Which of them is the least stable? A: x.

---

## w
# ZnHg2N (PBE-GGA, optimized geometry)
data_ZnHg2N
_space_group_name_H-M_alt 'P 1'
_space_group_IT_number 1
_cell_length_a 6.680
_cell_length_b 6.680
_cell_length_c 6.680
_cell_angle_alpha 126.70
_cell_angle_beta 126.70
_cell_angle_gamma 78.74
loop_
_space_group_symop_operation_xyz
'x,y,z'
loop_
_atom_site_label
_atom_site_type_symbol
_atom_site_fract_x
_atom_site_fract_y
_atom_site_fract_z
Zn1 Zn 0.000 0.000 0.000
Zn2 Zn 0.750 0.250 0.500
Hg1 Hg 0.205 0.625 0.080
Hg2 Hg 0.375 0.455 0.580
Hg3 Hg 0.545 0.125 0.920
Hg4 Hg 0.875 0.795 0.420
N1 N 0.250 0.750 0.500
N2 N 0.500 0.500 0.000
# SG ... I-42d, No. 122

---

## x
# ZnHg2N (PBE-GGA, optimized geometry)
data_ZnHg2N
_space_group_name_H-M_alt 'P 1'
_space_group_IT_number 1
_cell_length_a 4.606
_cell_length_b 4.606
_cell_length_c 4.606
_cell_angle_alpha 60.00
_cell_angle_beta 60.00
_cell_angle_gamma 60.00
loop_
_space_group_symop_operation_xyz
'x,y,z'
loop_
_atom_site_label
_atom_site_type_symbol
_atom_site_fract_x
_atom_site_fract_y
_atom_site_fract_z
Zn1 Zn 0.000 0.000 0.000
Hg1 Hg 0.250 0.250 0.250
Hg2 Hg 0.750 0.750 0.750
N1 N 0.500 0.500 0.500
# SG ... Fm-3m, No. 225

---

Q: Which of them is the least stable? A: x.

---

## w
# TaZnBr2 (PBE-GGA, optimized geometry)
data_TaZnBr2
_space_group_name_H-M_alt 'P 1'
_space_group_IT_number 1
_cell_length_a 3.174
_cell_length_b 4.533
_cell_length_c 5.717
_cell_angle_alpha 90.00
_cell_angle_beta 90.00
_cell_angle_gamma 90.00
loop_
_space_group_symop_operation_xyz
'x,y,z'
loop_
_atom_site_label
_atom_site_type_symbol
_atom_site_fract_x
_atom_site_fract_y
_atom_site_fract_z
Ta1 Ta 0.000 0.000 0.000
Zn1 Zn 0.500 0.000 0.500
Br1 Br 0.000 0.500 0.500
Br2 Br 0.500 0.500 0.000
# SG ... Pmmm, No. 47

---

## x
# TaZnBr2 (PBE-GGA, optimized geometry)
data_TaZnBr2
_space_group_name_H-M_alt 'P 1'
_space_group_IT_number 1
_cell_length_a 4.754
_cell_length_b 4.754
_cell_length_c 4.754
_cell_angle_alpha 60.00
_cell_angle_beta 60.00
_cell_angle_gamma 60.00
loop_
_space_group_symop_operation_xyz
'x,y,z'
loop_
_atom_site_label
_atom_site_type_symbol
_atom_site_fract_x
_atom_site_fract_y
_atom_site_fract_z
Ta1 Ta 0.000 0.000 0.000
Zn1 Zn 0.500 0.500 0.500
Br1 Br 0.250 0.250 0.250
Br2 Br 0.750 0.750 0.750
# SG ... Fm-3m, No. 225

---

Q: Which of them is the least stable? A: x.

---

## w
# In5Br (PBE-GGA, optimized geometry)
data_In5Br
_space_group_name_H-M_alt 'P 1'
_space_group_IT_number 1
_cell_length_a 6.317
_cell_length_b 6.317
_cell_length_c 6.317
_cell_angle_alpha 60.00
_cell_angle_beta 60.00
_cell_angle_gamma 60.00
loop_
_space_group_symop_operation_xyz
'x,y,z'
loop_
_atom_site_label
_atom_site_type_symbol
_atom_site_fract_x
_atom_site_fract_y
_atom_site_fract_z
In1 In 0.000 0.000 0.000
In2 In 0.124 0.625 0.625
In3 In 0.625 0.124 0.625
In4 In 0.625 0.625 0.124
In5 In 0.625 0.625 0.625
Br1 Br 0.250 0.250 0.250
# SG ... F-43m, No. 216

---

## x
# In5Br (PBE-GGA, optimized geometry)
data_In5Br
_space_group_name_H-M_alt 'P 1'
_space_group_IT_number 1
_cell_length_a 6.124
_cell_length_b 6.124
_cell_length_c 8.320
_cell_angle_alpha 100.37
_cell_angle_beta 100.37
_cell_angle_gamma 34.32
loop_
_space_group_symop_operation_xyz
'x,y,z'
loop_
_atom_site_label
_atom_site_type_symbol
_atom_site_fract_x
_atom_site_fract_y
_atom_site_fract_z
In1 In 0.000 0.000 0.000
In2 In 0.074 0.074 0.637
In3 In 0.350 0.350 0.686
In4 In 0.524 0.524 0.317
In5 In 0.724 0.724 0.959
Br1 Br 0.783 0.783 0.331
# SG ... Cm, No. 8

---

Q: Which of them is the least stable? A: w.